*a*
The following is a PBE calculation of RbCuAu2 after structural relaxation, from the Alexandria database.

Computed properties:
DOS at the Fermi energy (states/eV/f.u.): 1.37

a = 4.6327 Å, b = 4.6327 Å, c = 6.7024 Å
α = 69.78°, β = 69.78°, γ = 60.00°
Closest atoms and distances in Å follow each position.
Element x y z (fractional)
Au 0.3186 0.3186 0.0442  3 Cu 2.69, 3 Au 2.73
Au 0.6814 0.6814 0.9558  3 Cu 2.69, 3 Au 2.73
Cu 0.0000 0.0000 0.0000  6 Au 2.69
Rb 0.5000 0.5000 0.5000  2 Au 3.34


*b*
The following is a PBE calculation of RbCuAu2 after structural relaxation, from the Alexandria database.

Computed properties:
DOS at the Fermi energy (states/eV/f.u.): 1.92

a = 5.1278 Å, b = 5.1278 Å, c = 5.1278 Å
α = 60.00°, β = 60.00°, γ = 60.00°
Closest atoms and distances in Å follow each position.
Element x y z (fractional)
Au 0.2500 0.2500 0.2500  4 Cu 3.14, 4 Rb 3.14
Au 0.7500 0.7500 0.7500  4 Rb 3.14, 4 Cu 3.14
Cu 0.0000 0.0000 0.0000  8 Au 3.14
Rb 0.5000 0.5000 0.5000  8 Au 3.14


The most stable of them is *a*.


*a*
The following is a PBE calculation of RbCu3Au after structural relaxation, from the Alexandria database.

Computed properties:
DOS at the Fermi energy (states/eV/f.u.): 1.76

a = 4.9736 Å, b = 4.9736 Å, c = 4.9736 Å
α = 90.00°, β = 90.00°, γ = 90.00°
Closest atoms and distances in Å follow each position.
Element x y z (fractional)
Au 0.0000 0.0000 0.0000  6 Cu 2.49
Cu 0.0000 0.5000 0.0000  2 Au 2.49
Cu 0.0000 0.0000 0.5000  2 Au 2.49
Cu 0.5000 0.0000 0.0000  2 Au 2.49
Rb 0.5000 0.5000 0.5000  12 Cu 3.52


*b*
The following is a PBE calculation of RbCu3Au after structural relaxation, from the Alexandria database.

Computed properties:
DOS at the Fermi energy (states/eV/f.u.): 5.24

a = 5.1504 Å, b = 5.1504 Å, c = 5.1504 Å
α = 90.00°, β = 90.00°, γ = 90.00°
Closest atoms and distances in Å follow each position.
Element x y z (fractional)
Au 0.5000 0.5000 0.5000  12 Cu 3.64
Cu 0.0000 0.5000 0.0000  2 Rb 2.58
Cu 0.0000 0.0000 0.5000  2 Rb 2.58
Cu 0.5000 0.0000 0.0000  2 Rb 2.58
Rb 0.0000 0.0000 0.0000  6 Cu 2.58


The most stable of them is *a*.


*a*
The following is a PBE calculation of CuReAu3 after structural relaxation, from the Alexandria database.

Computed properties:
DOS at the Fermi energy (states/eV/f.u.): 5.15

a = 5.0308 Å, b = 5.0308 Å, c = 5.0308 Å
α = 90.00°, β = 90.00°, γ = 90.00°
Closest atoms and distances in Å follow each position.
Element x y z (fractional)
Re 0.0000 0.0000 0.0000  6 Au 2.52
Au 0.0000 0.5000 0.0000  2 Re 2.52
Au 0.0000 0.0000 0.5000  2 Re 2.52
Au 0.5000 0.0000 0.0000  2 Re 2.52
Cu 0.5000 0.5000 0.5000  12 Au 3.56


*b*
The following is a PBE calculation of CuReAu3 after structural relaxation, from the Alexandria database.

Computed properties:
DOS at the Fermi energy (states/eV/f.u.): 3.55

a = 4.7048 Å, b = 4.7048 Å, c = 4.7048 Å
α = 90.00°, β = 90.00°, γ = 90.00°
Closest atoms and distances in Å follow each position.
Element x y z (fractional)
Re 0.5000 0.5000 0.5000  12 Au 3.33
Au 0.0000 0.5000 0.0000  2 Cu 2.35
Au 0.0000 0.0000 0.5000  2 Cu 2.35
Au 0.5000 0.0000 0.0000  2 Cu 2.35
Cu 0.0000 0.0000 0.0000  6 Au 2.35


The most stable of them is *b*.


*a*
The following is a PBE calculation of CuReAu after structural relaxation, from the Alexandria database.

Computed properties:
DOS at the Fermi energy (states/eV/f.u.): 3.30

a = 6.4132 Å, b = 6.4136 Å, c = 2.7146 Å
α = 77.77°, β = 77.79°, γ = 24.44°
Closest atoms and distances in Å follow each position.
Element x y z (fractional)
Au 0.9963 0.9963 0.0037  4 Au 2.71, 4 Cu 2.82, 4 Re 2.92
Cu 0.3278 0.3278 0.6722  4 Re 2.67, 4 Cu 2.71, 4 Au 2.82
Re 0.6758 0.6758 0.3242  4 Cu 2.67, 4 Re 2.71, 4 Au 2.92


*b*
The following is a PBE calculation of CuReAu after structural relaxation, from the Alexandria database.

Computed properties:
DOS at the Fermi energy (states/eV/f.u.): 1.85

a = 2.7694 Å, b = 2.7694 Å, c = 6.8145 Å
α = 90.00°, β = 90.00°, γ = 120.00°
Closest atoms and distances in Å follow each position.
Element x y z (fractional)
Au 0.0000 0.0000 0.0087  3 Cu 2.77, 6 Au 2.77, 3 Re 2.91
Cu 0.6667 0.3333 0.3397  3 Re 2.66, 3 Au 2.77, 6 Cu 2.77
Re 0.3333 0.6667 0.6516  3 Cu 2.66, 6 Re 2.77, 3 Au 2.91


The most stable of them is *b*.


*a*
The following is a PBE calculation of CuReAu after structural relaxation, from the Alexandria database.

Computed properties:
DOS at the Fermi energy (states/eV/f.u.): 3.18

a = 4.9547 Å, b = 4.9547 Å, c = 4.9547 Å
α = 148.68°, β = 133.85°, γ = 56.83°
Closest atoms and distances in Å follow each position.
Element x y z (fractional)
Au 0.0034 0.0034 0.0000  2 Au 2.67, 5 Cu 2.79-2.87, 5 Re 2.79-2.83
Cu 0.6735 0.6735 0.0000  2 Cu 2.67, 4 Re 2.69, 5 Au 2.79-2.87
Re 0.3231 0.3231 0.0000  2 Re 2.67, 4 Cu 2.69, 5 Au 2.79-2.83


*b*
The following is a PBE calculation of CuReAu after structural relaxation, from the Alexandria database.

Computed properties:
DOS at the Fermi energy (states/eV/f.u.): 4.97

a = 4.1361 Å, b = 4.1361 Å, c = 4.1361 Å
α = 60.00°, β = 60.00°, γ = 60.00°
Closest atoms and distances in Å follow each position.
Element x y z (fractional)
Au 0.5000 0.5000 0.5000  4 Cu 2.53
Cu 0.7500 0.7500 0.7500  4 Au 2.53, 4 Re 2.53
Re 0.0000 0.0000 0.0000  4 Cu 2.53


The most stable of them is *a*.


*a*
The following is a PBE calculation of VCuReAu2 after structural relaxation, from the Alexandria database.

Computed properties:
DOS at the Fermi energy (states/eV/f.u.): 12.86

a = 4.9636 Å, b = 4.6106 Å, c = 4.9636 Å
α = 90.00°, β = 90.00°, γ = 90.00°
Closest atoms and distances in Å follow each position.
Element x y z (fractional)
Re 0.0000 0.0000 0.0000  2 Cu 2.31, 4 Au 2.48
Au 0.0000 0.0000 0.5000  2 Re 2.48
Au 0.5000 0.0000 0.0000  2 Re 2.48
Cu 0.0000 0.5000 0.0000  2 Re 2.31
V 0.5000 0.5000 0.5000  8 Au 3.39, 4 Cu 3.51


*b*
The following is a PBE calculation of VCuReAu2 after structural relaxation, from the Alexandria database.

Computed properties:
DOS at the Fermi energy (states/eV/f.u.): 4.70

a = 4.5606 Å, b = 4.3167 Å, c = 4.5606 Å
α = 90.00°, β = 90.00°, γ = 90.00°
Closest atoms and distances in Å follow each position.
Element x y z (fractional)
Re 0.5000 0.5000 0.5000  8 Au 3.14, 4 V 3.22
Au 0.0000 0.0000 0.5000  2 Cu 2.28
Au 0.5000 0.0000 0.0000  2 Cu 2.28
Cu 0.0000 0.0000 0.0000  2 V 2.16, 4 Au 2.28
V 0.0000 0.5000 0.0000  2 Cu 2.16


The most stable of them is *b*.


*a*
The following is a PBE calculation of CuRhAu3 after structural relaxation, from the Alexandria database.

Computed properties:
DOS at the Fermi energy (states/eV/f.u.): 5.73

a = 5.0012 Å, b = 5.0012 Å, c = 5.0012 Å
α = 90.00°, β = 90.00°, γ = 90.00°
Closest atoms and distances in Å follow each position.
Element x y z (fractional)
Rh 0.0000 0.0000 0.0000  6 Au 2.50
Au 0.0000 0.5000 0.0000  2 Rh 2.50
Au 0.0000 0.0000 0.5000  2 Rh 2.50
Au 0.5000 0.0000 0.0000  2 Rh 2.50
Cu 0.5000 0.5000 0.5000  12 Au 3.54


*b*
The following is a PBE calculation of CuRhAu3 after structural relaxation, from the Alexandria database.

Computed properties:
DOS at the Fermi energy (states/eV/f.u.): 4.17

a = 4.6852 Å, b = 4.6852 Å, c = 4.6852 Å
α = 90.00°, β = 90.00°, γ = 90.00°
Closest atoms and distances in Å follow each position.
Element x y z (fractional)
Rh 0.5000 0.5000 0.5000  12 Au 3.31
Au 0.0000 0.5000 0.0000  2 Cu 2.34
Au 0.0000 0.0000 0.5000  2 Cu 2.34
Au 0.5000 0.0000 0.0000  2 Cu 2.34
Cu 0.0000 0.0000 0.0000  6 Au 2.34


The most stable of them is *b*.


*a*
The following is a PBE calculation of Cu2Rh2Au after structural relaxation, from the Alexandria database.

Computed properties:
DOS at the Fermi energy (states/eV/f.u.): 8.27

a = 7.2748 Å, b = 7.2748 Å, c = 2.7828 Å
α = 90.00°, β = 90.00°, γ = 90.00°
Closest atoms and distances in Å follow each position.
Element x y z (fractional)
Rh 0.3710 0.8710 0.0000  6 Cu 2.51-2.58, 3 Rh 2.65-2.78
Rh 0.8710 0.6290 0.0000  6 Cu 2.51-2.58, 3 Rh 2.65-2.78
Rh 0.6290 0.1290 0.0000  6 Cu 2.51-2.58, 3 Rh 2.65-2.78
Rh 0.1290 0.3710 0.0000  6 Cu 2.51-2.58, 3 Rh 2.65-2.78
Au 0.0000 0.0000 0.0000  2 Au 2.78, 4 Rh 2.86, 8 Cu 3.04
Au 0.5000 0.5000 0.0000  2 Au 2.78, 4 Rh 2.86, 8 Cu 3.04
Cu 0.1678 0.6678 0.5000  6 Rh 2.51-2.58, 2 Cu 2.78
Cu 0.6678 0.8322 0.5000  6 Rh 2.51-2.58, 2 Cu 2.78
Cu 0.8322 0.3322 0.5000  6 Rh 2.51-2.58, 2 Cu 2.78
Cu 0.3322 0.1678 0.5000  6 Rh 2.51-2.58, 2 Cu 2.78


*b*
The following is a PBE calculation of Cu2Rh2Au after structural relaxation, from the Alexandria database.

Computed properties:
DOS at the Fermi energy (states/eV/f.u.): 6.61

a = 7.2701 Å, b = 7.2701 Å, c = 2.7434 Å
α = 90.00°, β = 90.00°, γ = 90.00°
Closest atoms and distances in Å follow each position.
Element x y z (fractional)
Rh 0.1718 0.6718 0.5000  6 Cu 2.51-2.57, 2 Rh 2.74
Rh 0.6718 0.8282 0.5000  6 Cu 2.51-2.57, 2 Rh 2.74
Rh 0.8282 0.3282 0.5000  6 Cu 2.51-2.57, 2 Rh 2.74
Rh 0.3282 0.1718 0.5000  6 Cu 2.51-2.57, 2 Rh 2.74
Au 0.0000 0.0000 0.0000  2 Au 2.74, 4 Cu 2.88, 8 Rh 3.02
Au 0.5000 0.5000 0.0000  2 Au 2.74, 4 Cu 2.88, 8 Rh 3.02
Cu 0.3763 0.8763 0.0000  6 Rh 2.51-2.57, 3 Cu 2.54-2.74
Cu 0.8763 0.6237 0.0000  6 Rh 2.51-2.57, 3 Cu 2.54-2.74
Cu 0.6237 0.1237 0.0000  6 Rh 2.51-2.57, 3 Cu 2.54-2.74
Cu 0.1237 0.3763 0.0000  6 Rh 2.51-2.57, 3 Cu 2.54-2.74


The most stable of them is *b*.


*a*
The following is a PBE calculation of CuRhAu after structural relaxation, from the Alexandria database.

Computed properties:
DOS at the Fermi energy (states/eV/f.u.): 3.52

a = 6.0258 Å, b = 6.0258 Å, c = 6.0258 Å
α = 153.16°, β = 153.16°, γ = 38.32°
Closest atoms and distances in Å follow each position.
Element x y z (fractional)
Au 0.9943 0.9943 0.0000  4 Cu 2.74, 4 Au 2.80, 4 Rh 2.87
Cu 0.3283 0.3283 0.0000  4 Rh 2.62, 4 Au 2.74, 4 Cu 2.80
Rh 0.6774 0.6774 0.0000  4 Cu 2.62, 4 Rh 2.80, 4 Au 2.87


*b*
The following is a PBE calculation of CuRhAu after structural relaxation, from the Alexandria database.

Computed properties:
DOS at the Fermi energy (states/eV/f.u.): 5.85

a = 4.1525 Å, b = 4.1525 Å, c = 4.1525 Å
α = 60.00°, β = 60.00°, γ = 60.00°
Closest atoms and distances in Å follow each position.
Element x y z (fractional)
Au 0.5000 0.5000 0.5000  4 Cu 2.54
Cu 0.7500 0.7500 0.7500  4 Rh 2.54, 4 Au 2.54
Rh 0.0000 0.0000 0.0000  4 Cu 2.54


The most stable of them is *a*.


*a*
The following is a PBE calculation of CuRhAu after structural relaxation, from the Alexandria database.

Computed properties:
DOS at the Fermi energy (states/eV/f.u.): 3.41

a = 2.7921 Å, b = 2.7921 Å, c = 6.6511 Å
α = 90.00°, β = 90.00°, γ = 120.00°
Closest atoms and distances in Å follow each position.
Element x y z (fractional)
Au 0.0000 0.0000 0.0093  3 Cu 2.73, 6 Au 2.79, 3 Rh 2.88
Cu 0.6667 0.3333 0.3410  3 Rh 2.61, 3 Au 2.73, 6 Cu 2.79
Rh 0.3333 0.6667 0.6497  3 Cu 2.61, 6 Rh 2.79, 3 Au 2.88


*b*
The following is a PBE calculation of CuRhAu after structural relaxation, from the Alexandria database.

Computed properties:
DOS at the Fermi energy (states/eV/f.u.): 3.86

a = 4.8859 Å, b = 4.8859 Å, c = 4.8859 Å
α = 147.00°, β = 134.58°, γ = 57.27°
Closest atoms and distances in Å follow each position.
Element x y z (fractional)
Au 0.0033 0.0033 0.0000  5 Cu 2.75-2.84, 5 Rh 2.76-2.80, 2 Au 2.78
Cu 0.6717 0.6717 0.0000  5 Rh 2.69-2.97, 5 Au 2.75-2.84, 2 Cu 2.78
Rh 0.3250 0.3250 0.0000  5 Cu 2.69-2.97, 5 Au 2.76-2.80, 2 Rh 2.78


The most stable of them is *a*.


*a*
The following is a PBE calculation of TmCuRhAu after structural relaxation, from the Alexandria database.

Computed properties:
DOS at the Fermi energy (states/eV/f.u.): 0.66

a = 3.9292 Å, b = 3.9597 Å, c = 4.3454 Å
α = 90.00°, β = 90.00°, γ = 90.00°
Closest atoms and distances in Å follow each position.
Element x y z (fractional)
Tm 0.5000 0.0000 0.5000  4 Rh 2.79, 4 Au 2.93, 4 Cu 2.94
Cu 0.5000 0.5000 0.0000  4 Au 2.79, 4 Rh 2.93, 4 Tm 2.94
Rh 0.0000 0.5000 0.5000  4 Tm 2.79, 4 Cu 2.93, 4 Au 2.94
Au 0.0000 0.0000 0.0000  4 Cu 2.79, 4 Tm 2.93, 4 Rh 2.94


*b*
The following is a PBE calculation of TmCuRhAu after structural relaxation, from the Alexandria database.

Computed properties:
DOS at the Fermi energy (states/eV/f.u.): 3.18

a = 4.6182 Å, b = 4.6182 Å, c = 4.6182 Å
α = 60.00°, β = 60.00°, γ = 60.00°
Closest atoms and distances in Å follow each position.
Element x y z (fractional)
Rh 0.7500 0.7500 0.7500  4 Cu 2.83, 4 Tm 2.83
Tm 0.5000 0.5000 0.5000  4 Au 2.83, 4 Rh 2.83
Au 0.2500 0.2500 0.2500  4 Cu 2.83, 4 Tm 2.83
Cu 0.0000 0.0000 0.0000  4 Rh 2.83, 4 Au 2.83


The most stable of them is *a*.


*a*
The following is a PBE calculation of Cu2RuAu after structural relaxation, from the Alexandria database.

Computed properties:
DOS at the Fermi energy (states/eV/f.u.): 4.50

a = 4.3063 Å, b = 4.3063 Å, c = 4.3063 Å
α = 60.00°, β = 60.00°, γ = 60.00°
Closest atoms and distances in Å follow each position.
Element x y z (fractional)
Ru 0.0000 0.0000 0.0000  8 Cu 2.64
Au 0.5000 0.5000 0.5000  8 Cu 2.64
Cu 0.2500 0.2500 0.2500  4 Au 2.64, 4 Ru 2.64
Cu 0.7500 0.7500 0.7500  4 Ru 2.64, 4 Au 2.64


*b*
The following is a PBE calculation of Cu2RuAu after structural relaxation, from the Alexandria database.

Computed properties:
DOS at the Fermi energy (states/eV/f.u.): 3.97

a = 2.7153 Å, b = 3.6159 Å, c = 5.7503 Å
α = 90.00°, β = 90.00°, γ = 90.00°
Closest atoms and distances in Å follow each position.
Element x y z (fractional)
Au 0.5000 0.5000 0.7500  2 Au 2.72, 8 Cu 2.74, 2 Ru 2.88
Cu 0.0000 0.0000 0.0178  4 Ru 2.63, 3 Cu 2.67-2.72, 4 Au 2.74
Cu 0.0000 0.0000 0.4822  4 Ru 2.63, 3 Cu 2.67-2.72, 4 Au 2.74
Ru 0.5000 0.5000 0.2500  8 Cu 2.63, 2 Ru 2.72, 2 Au 2.88


*c*
The following is a PBE calculation of Cu2RuAu after structural relaxation, from the Alexandria database.

Computed properties:
DOS at the Fermi energy (states/eV/f.u.): 3.25

a = 9.0041 Å, b = 9.0041 Å, c = 9.0041 Å
α = 17.43°, β = 17.43°, γ = 17.43°
Closest atoms and distances in Å follow each position.
Element x y z (fractional)
Au 0.2500 0.2500 0.2500  6 Au 2.73, 6 Cu 2.80
Cu 0.0039 0.0039 0.0039  3 Ru 2.64, 6 Cu 2.73, 3 Au 2.80
Cu 0.4961 0.4961 0.4961  3 Ru 2.64, 6 Cu 2.73, 3 Au 2.80
Ru 0.7500 0.7500 0.7500  6 Cu 2.64, 6 Ru 2.73


The most stable of them is *c*.